The following is a DFT calculation (GGA-PBE) of an optimized crystal structure of Ag5Te2Se2.

Cell lengths 21.560, 7.303, 5.783 Å; angles 90.00, 90.00, 90.00 degrees
Space group Ima2 (No. 46)
One atom of each set of equivalent atoms:
Ag 0.064 0.249 0.000 (multiplicity 8)
Ag 0.128 0.578 0.749 (multiplicity 8)
Ag 0.250 0.101 0.749 (multiplicity 4)
Te 0.132 0.523 0.249 (multiplicity 8)
Se 0.000 0.000 0.251 (multiplicity 4)
Se 0.250 0.030 0.249 (multiplicity 4)

## Properties
The relative energy among the computed polymorphs comes out at 16 meV per atom. The calculation puts the density of states at the Fermi level at 4.92 states/eV/f.u. The calculation puts the total moment at 0.000 μB/atom.